DFT (PBE) results for a geometry-optimized K3Cr2SnS6 structure.

It has space group C2/m (No. 12), with a = 6.571 Å, b = 11.384 Å, c = 7.456 Å, α = 90.00°, β = 107.23° and γ = 90.00°. Symmetry generates all atoms from K at (0.000, 0.000, 0.000), K at (0.000, 0.340, 0.000), Cr at (0.000, 0.167, 0.500), Sn at (0.000, 0.500, 0.500), S at (0.198, 0.000, 0.680) and S at (0.242, 0.319, 0.681).

The value obtained for the electronic total energy is -5.1484 eV per atom. For the mass density, the calculation gives 3.3 Mg/m³. The formation energy without anion corrections is -0.87 eV/atom.

DFT (PBE) results for a geometry-optimized ThPaNi3 structure.

It has space group Cmcm (No. 63), with a = 3.664 Å, b = 25.337 Å, c = 4.036 Å, α = 90.00°, β = 90.00° and γ = 90.00°. Symmetry generates all atoms from Th at (0.000, 0.071, 0.250), Pa at (0.000, 0.201, 0.750), Ni at (0.000, 0.313, 0.750), Ni at (0.000, 0.376, 0.250) and Ni at (0.000, 0.473, 0.250).

The formation energy is -0.413 eV/atom. The value obtained for the electronic total energy is -7.2646 eV per atom. For the mass density, the calculation gives 11.3 Mg/m³.

DFT (PBE) results for a geometry-optimized Ta2InCuTe4 structure.

It has space group I-42m (No. 121), with a = 6.602 Å, b = 6.602 Å, c = 12.305 Å, α = 90.00°, β = 90.00° and γ = 90.00°. Symmetry generates all atoms from Ta at (0.000, 0.500, 0.250), In at (0.000, 0.000, 0.000), Cu at (0.000, 0.000, 0.500) and Te at (0.213, 0.213, 0.361).

The value obtained for the electronic total energy is -5.0735 eV per atom. For the mass density, the calculation gives 6.5 Mg/m³. The formation energy without anion corrections is 0.31 eV/atom.

DFT (PBE) results for a geometry-optimized TlIn2Bi2 structure.

It has space group I4/mmm (No. 139), with a = 4.843 Å, b = 4.843 Å, c = 14.705 Å, α = 90.00°, β = 90.00° and γ = 90.00°. Symmetry generates all atoms from Tl at (0.000, 0.000, 0.000), In at (0.000, 0.500, 0.250) and Bi at (0.000, 0.000, 0.386).

The formation energy is 0.028 eV/atom. The value obtained for the electronic total energy is -3.0931 eV per atom. For the mass density, the calculation gives 8.2 Mg/m³. The energy above the most stable polymorph in this dataset comes out at 19 meV/atom.

> The lowest electronic total energy belongs to which entry?

ThPaNi3